1.
# YEr2Sn3PdPt2

A relaxed structure of YEr2Sn3PdPt2 (PBE, OQMD).

Output
uncorrected energy	-108.65	eV per cell

The structure in CIF format:
```
data_YEr2Sn3PdPt2
_cell_length_a 3.997
_cell_length_b 13.054
_cell_length_c 7.503
_cell_angle_alpha 90.00
_cell_angle_beta 90.00
_cell_angle_gamma 90.00
_space_group_name_H-M_alt 'A m m 2'
_space_group_IT_number 38
loop_
_space_group_symop_operation_xyz
'x,y,z'
'-x,-y,z'
'-x,y,z'
'x,-y,z'
'x,y+1/2,z+1/2'
'-x,-y+1/2,z+1/2'
'-x,y+1/2,z+1/2'
'x,-y+1/2,z+1/2'
loop_
_atom_site_label
_atom_site_fract_x
_atom_site_fract_y
_atom_site_fract_z
Y1 0.000 0.000 0.000
Er1 0.000 0.204 0.388
Sn1 0.500 0.000 0.334
Sn2 0.500 0.129 0.721
Pd1 0.000 0.000 0.590
Pt1 0.500 0.168 0.093
```



2.
# YEr2Sn3Pd2Pt

A relaxed structure of YEr2Sn3Pd2Pt (PBE, OQMD).

Output
uncorrected energy	-105.66	eV per cell

The structure in CIF format:
```
data_YEr2Sn3Pd2Pt
_cell_length_a 3.923
_cell_length_b 13.150
_cell_length_c 7.569
_cell_angle_alpha 90.00
_cell_angle_beta 90.00
_cell_angle_gamma 90.00
_space_group_name_H-M_alt 'A m m 2'
_space_group_IT_number 38
loop_
_space_group_symop_operation_xyz
'x,y,z'
'-x,-y,z'
'-x,y,z'
'x,-y,z'
'x,y+1/2,z+1/2'
'-x,-y+1/2,z+1/2'
'-x,y+1/2,z+1/2'
'x,-y+1/2,z+1/2'
loop_
_atom_site_label
_atom_site_fract_x
_atom_site_fract_y
_atom_site_fract_z
Y1 0.000 0.000 0.000
Er1 0.000 0.200 0.400
Sn1 0.500 0.000 0.336
Sn2 0.500 0.131 0.732
Pd1 0.500 0.169 0.101
Pt1 0.000 0.000 0.598
```



3.
# Y2ErSn3PdPt2

A relaxed structure of Y2ErSn3PdPt2 (PBE, OQMD).

Output
uncorrected energy	-112.48	eV per cell

The structure in CIF format:
```
data_Y2ErSn3PdPt2
_cell_length_a 4.008
_cell_length_b 13.002
_cell_length_c 7.545
_cell_angle_alpha 90.00
_cell_angle_beta 90.00
_cell_angle_gamma 90.00
_space_group_name_H-M_alt 'A m m 2'
_space_group_IT_number 38
loop_
_space_group_symop_operation_xyz
'x,y,z'
'-x,-y,z'
'-x,y,z'
'x,-y,z'
'x,y+1/2,z+1/2'
'-x,-y+1/2,z+1/2'
'-x,y+1/2,z+1/2'
'x,-y+1/2,z+1/2'
loop_
_atom_site_label
_atom_site_fract_x
_atom_site_fract_y
_atom_site_fract_z
Y1 0.000 0.204 0.000
Er1 0.000 0.000 0.388
Sn1 0.500 0.000 0.055
Sn2 0.500 0.129 0.667
Pd1 0.000 0.000 0.794
Pt1 0.500 0.165 0.297
```



4.
# ErPuPd

A relaxed structure of ErPuPd (PBE, OQMD).

Output
E_form	-29.3	kJ per mole of atoms
relative energy among the computed polymorphs	0.0	meV per atom

The structure in CIF format:
```
data_ErPuPd
_cell_length_a 6.862
_cell_length_b 6.862
_cell_length_c 6.862
_cell_angle_alpha 90.00
_cell_angle_beta 90.00
_cell_angle_gamma 90.00
_space_group_name_H-M_alt 'F -4 3 m'
_space_group_IT_number 216
_space_group_name_Hall 'F -4 2 3'
loop_
_atom_site_label
_atom_site_fract_x
_atom_site_fract_y
_atom_site_fract_z
Er1 0.000 0.000 0.000
Pu1 0.000 0.000 0.500
Pd1 0.250 0.250 0.250
```



5.
# RbErPd

A relaxed structure of RbErPd (PBE, OQMD).

Output
relative energy among the computed polymorphs	0.0	meV per atom

The structure in CIF format:
```
data_RbErPd
_cell_length_a 7.250
_cell_length_b 7.250
_cell_length_c 7.250
_cell_angle_alpha 90.00
_cell_angle_beta 90.00
_cell_angle_gamma 90.00
_space_group_name_H-M_alt 'F -4 3 m'
_space_group_IT_number 216
_space_group_name_Hall 'F -4 2 3'
loop_
_atom_site_label
_atom_site_fract_x
_atom_site_fract_y
_atom_site_fract_z
Rb1 0.000 0.000 0.000
Er1 0.000 0.000 0.500
Pd1 0.250 0.250 0.750
```



6.
# RbErPdSe3

A relaxed structure of RbErPdSe3 (PBE, OQMD).

Output
relative energy among the computed polymorphs	0.0	meV per atom

The structure in CIF format:
```
data_RbErPdSe3
_cell_length_a 4.209
_cell_length_b 16.659
_cell_length_c 9.831
_cell_angle_alpha 90.00
_cell_angle_beta 90.00
_cell_angle_gamma 90.00
_space_group_name_H-M_alt 'C m c m'
_space_group_IT_number 63
_space_group_name_Hall '-C 2c 2'
loop_
_atom_site_label
_atom_site_fract_x
_atom_site_fract_y
_atom_site_fract_z
Rb1 0.000 0.243 0.250
Er1 0.000 0.000 0.000
Pd1 0.000 0.499 0.750
Se1 0.000 0.091 0.750
Se2 0.000 0.391 0.576
```